# 1
Material: KPAu3
Method: DFT, GGA-PBEsol
State: relaxed

## Properties
Energy of formation from the pure elements, meV/atom: -70.6
Symmetry: Pm-3m

Structure (POSCAR):
```
KPAu3
1.0
-3.3070 2.3946 2.5448
0.7249 -2.9574 3.7249
3.4183 2.9438 1.6720
P Au K
1 3 1
Cartesian
0.0000 0.0000 0.0000
0.3624 -1.4787 1.8625
1.7092 1.4719 0.8360
-1.6535 1.1973 1.2724
0.4181 1.1905 3.9709
```

# 2
Material: KP2AuS
Method: DFT, GGA-PBEsol
State: relaxed

## Properties
Formation energy without anion corrections, eV per atom: 0.454
Symmetry: P4/mmm

Structure (POSCAR):
```
KP2AuS
1.0
4.7865 0.0000 0.0000
0.0000 4.7865 0.0000
0.0000 0.0000 5.1995
S P K Au
1 2 1 1
Cartesian
0.0000 0.0000 2.5998
0.0000 2.3932 0.0000
2.3932 0.0000 0.0000
2.3932 2.3932 2.5998
0.0000 0.0000 0.0000
```

# 3
Material: KP2AuS7
Method: DFT, GGA-PBEsol
State: relaxed

## Properties
Formation energy without anion corrections, eV per atom: -0.398
Symmetry: C2/c

Structure (POSCAR):
```
KP2AuS7
1.0
-0.6744 5.8595 -1.2016
-4.3192 -2.2859 -3.5144
-9.4715 0.9261 11.6646
P S K Au
4 14 2 2
Cartesian
-7.8598 3.7227 5.5874
-4.3762 0.4612 -1.0395
-10.0889 4.0385 7.9881
-6.6054 0.7770 1.3612
-7.5932 1.9369 6.3447
-3.0955 0.9418 0.3613
-6.8719 2.5627 0.6039
-3.7740 -0.8410 -2.5240
-6.2415 4.6912 4.7476
-11.3696 3.5578 6.5873
-8.4329 5.0906 7.1313
-5.3102 0.6657 2.9764
-10.6912 5.3406 9.4726
-9.4414 2.4799 9.1924
-6.0322 -0.5909 -0.1827
-9.1549 3.8340 3.9722
-8.2236 -0.1915 2.2010
-5.0238 2.0197 -2.2438
-3.9699 4.0180 1.1259
-10.4952 0.4817 5.8227
-6.8953 -0.6799 4.0751
-0.3372 2.9297 -0.6008
```